No. 1
First-principles (PBE) data for crystalline BaCaPb at its relaxed geometry, as listed in Alexandria.

a b c (Å): 4.088 4.088 8.792
angles (deg): 90.00 90.00 120.00
Fractional positions:
Ba  0.000  0.000  0.000
Ca  0.667  0.333  0.421
Pb  0.333  0.667  0.690

Values from the calculation:
- ρ: 5.0 g cm⁻³
- Total magnetic moment: 0.0 μB per formula unit
- DOS at the Fermi energy: 2.202 states/eV/cell
- Space group: No. 156
- DFT formation energy: -0.2001 eV per atom

=====

No. 2
First-principles (PBE) data for crystalline BiPtCl3 at its relaxed geometry, as listed in Alexandria.

a b c (Å): 5.414 5.414 5.414
angles (deg): 90.00 90.00 90.00
Fractional positions:
Bi  0.000  0.000  0.000
Pt  0.500  0.500  0.500
Cl  0.000  0.000  0.500
Cl  0.000  0.500  0.000
Cl  0.500  0.000  0.000

Values from the calculation:
- ρ: 5.3 g cm⁻³
- Uncorrected formation energy: 0.33 eV per atom
- Total magnetic moment: 0.3 μB per formula unit
- DOS at the Fermi energy: 40.253 states/eV/cell
- Space group: No. 221
- Distance to the lowest polymorph of the same formula: 1.58 eV/f.u.

=====

No. 3
First-principles (PBE) data for crystalline LaScNi2 at its relaxed geometry, as listed in Alexandria.

a b c (Å): 4.283 5.372 5.372
angles (deg): 39.62 90.00 90.00
Fractional positions:
La  0.000  0.000  0.000
Sc  0.500  0.276  0.276
Ni  0.000  0.726  0.726
Ni  0.500  0.580  0.580

Values from the calculation:
- ρ: 6.3 g cm⁻³
- Total magnetic moment: 0.0 μB per formula unit
- DOS at the Fermi energy: 3.051 states/eV/cell
- Space group: No. 38
- Distance to the lowest polymorph of the same formula: 0.00 eV/f.u.
- DFT formation energy: -0.3614 eV per atom

=====

No. 4
First-principles (PBE) data for crystalline Ba3GaCu2O6 at its relaxed geometry, as listed in Alexandria.

a b c (Å): 5.946 5.946 6.778
angles (deg): 90.00 90.00 120.00
Fractional positions:
Ba  0.000  0.000  0.000
Ba  0.333  0.667  0.656
Ba  0.667  0.333  0.344
Ga  0.000  0.000  0.500
Cu  0.333  0.667  0.224
Cu  0.667  0.333  0.776
O  0.159  0.317  0.318
O  0.159  0.841  0.318
O  0.317  0.159  0.682
O  0.683  0.841  0.318
O  0.841  0.159  0.682
O  0.841  0.683  0.682

Values from the calculation:
- ρ: 5.6 g cm⁻³
- Uncorrected formation energy: -1.65 eV per atom
- Total magnetic moment: 1.0 μB per formula unit
- DOS at the Fermi energy: 6.786 states/eV/cell
- Space group: No. 164

=====

No. 5
First-principles (PBE) data for crystalline La2DyNpN4 at its relaxed geometry, as listed in Alexandria.

a b c (Å): 6.098 3.566 6.278
angles (deg): 90.00 108.55 90.00
Fractional positions:
La  0.000  0.000  0.000
La  0.500  0.500  0.000
Dy  0.000  0.500  0.500
Np  0.500  0.000  0.500
N  0.261  0.000  0.711
N  0.272  0.500  0.287
N  0.728  0.500  0.713
N  0.739  0.000  0.289

Values from the calculation:
- ρ: 9.4 g cm⁻³
- Uncorrected formation energy: -1.37 eV per atom
- Total magnetic moment: 2.6 μB per formula unit
- DOS at the Fermi energy: 5.931 states/eV/cell
- Space group: No. 10

=====

No. 6
First-principles (PBE) data for crystalline Cr2SbCl at its relaxed geometry, as listed in Alexandria.

a b c (Å): 3.390 3.743 6.925
angles (deg): 90.00 90.00 90.00
Fractional positions:
Cr  0.000  0.000  0.211
Cr  0.000  0.000  0.789
Sb  0.500  0.500  0.000
Cl  0.500  0.000  0.500

Values from the calculation:
- ρ: 4.9 g cm⁻³
- Uncorrected formation energy: 0.07 eV per atom
- Total magnetic moment: 8.2 μB per formula unit
- DOS at the Fermi energy: 1.632 states/eV/cell
- Space group: No. 47
- Distance to the lowest polymorph of the same formula: 0.44 eV/f.u.